1.
NdPuInAu | PBE | relaxed

a = 5.3354 Å, b = 5.3354 Å, c = 5.3354 Å
α = 60.00°, β = 60.00°, γ = 60.00°
Last column: magnetic moment on the atom in μB.
Positions (direct):
1 Nd 0.2500 0.2500 0.2500  0.08
2 In 0.5000 0.5000 0.5000  -0.01
3 Au 0.0000 0.0000 0.0000  0.01
4 Pu 0.7500 0.7500 0.7500  5.42

Summary:
The space-group type is F-43m (216). The formation energy from the elements comes out at -0.353 eV per atom.

***

2.
NdIn2Si2Au7 | PBE | relaxed

a = 4.6308 Å, b = 4.6308 Å, c = 12.6712 Å
α = 90.37°, β = 90.37°, γ = 98.46°
Positions (direct):
1 Nd 0.0000 0.0000 0.0000
2 In 0.8542 0.8542 0.3745
3 In 0.1458 0.1458 0.6255
4 Si 0.6611 0.6611 0.7689
5 Si 0.3389 0.3389 0.2311
6 Au 0.5000 0.5000 0.0000
7 Au 0.3312 0.3312 0.4218
8 Au 0.6688 0.6688 0.5782
9 Au 0.8806 0.4754 0.1762
10 Au 0.4754 0.8806 0.1762
11 Au 0.5246 0.1194 0.8238
12 Au 0.1194 0.5246 0.8238

Summary:
The space-group type is C2/m (12). The raw formation energy comes out at -227.1 meV/atom.

***

3.
NdSmInAu | PBE | relaxed

a = 5.3619 Å, b = 5.3619 Å, c = 5.3619 Å
α = 60.00°, β = 60.00°, γ = 60.00°
Last column: magnetic moment on the atom in μB.
Positions (direct):
1 Nd 0.7500 0.7500 0.7500  0.11
2 Au 0.0000 0.0000 0.0000  0.03
3 Sm 0.2500 0.2500 0.2500  0.12
4 In 0.5000 0.5000 0.5000  0.01

Summary:
The space-group type is F-43m (216). The excess energy over the best structure of this formula in the dataset comes out at 63.9 meV/atom. The formation energy from the elements comes out at -0.568 eV per atom.

***

4.
NdSmInAu | PBE | relaxed

a = 3.6963 Å, b = 3.6963 Å, c = 7.9179 Å
α = 90.00°, β = 90.00°, γ = 90.00°
Positions (direct):
1 Nd 0.0000 0.0000 0.8412
2 Sm 0.0000 0.0000 0.3778
3 In 0.5000 0.5000 0.1122
4 Au 0.5000 0.5000 0.5967

Summary:
The space-group type is P4mm (99). The excess energy over the best structure of this formula in the dataset comes out at 0.0 meV/atom. The formation energy from the elements comes out at -0.632 eV per atom.

***

5.
SrNdInAu | PBE | relaxed

a = 5.4719 Å, b = 5.4719 Å, c = 5.4719 Å
α = 60.00°, β = 60.00°, γ = 60.00°
Positions (direct):
1 Nd 0.2500 0.2500 0.2500
2 Au 0.0000 0.0000 0.0000
3 Sr 0.7500 0.7500 0.7500
4 In 0.5000 0.5000 0.5000

Summary:
The space-group type is F-43m (216). The formation energy from the elements comes out at -0.532 eV per atom.

***

6.
NdTm2InAu4 | PBE | relaxed

a = 4.9501 Å, b = 4.9501 Å, c = 9.0814 Å
α = 74.18°, β = 74.18°, γ = 60.00°
Positions (direct):
1 Nd 0.0000 0.0000 0.0000
2 Tm 0.7593 0.7593 0.7221
3 Tm 0.2407 0.2407 0.2779
4 In 0.5000 0.5000 0.5000
5 Au 0.3829 0.3829 0.8514
6 Au 0.8797 0.8797 0.3610
7 Au 0.1203 0.1203 0.6390
8 Au 0.6171 0.6171 0.1486

Summary:
The space-group type is R-3m (166). The formation energy from the elements comes out at -0.740 eV per atom.

***

no.,size of the total moment (μB/atom)
1,1.459
2,0.000
3,0.122
4,0.000
5,0.000
6,0.000